A geometry-optimized LiAl2Ag structure. Source: Alexandria, functional PBE.

Cell and atoms, written as POSCAR:
```
LiAl2Ag
1.0
2.912 0.000 0.000
1.456 2.522 0.000
1.456 0.841 9.114
Li Al Ag
1 2 1
Direct
0.666 0.666 0.002
0.083 0.083 0.750
0.250 0.250 0.249
0.501 0.501 0.498
```

## Properties
Calculated total energy = -3.11 eV/atom
ΔE_f = -0.051 eV per atom
M_tot = 0.0 Bohr magnetons per cell
Space group = R3m, No. 160
Offset from the most stable computed form = 0.35 eV per formula unit